The following is a DFT calculation (meta-GGA SCAN) of LiAgP2O at its PBEsol-relaxed geometry.

- formation energy from raw total energies (eV/f.u.) = 3.4
- crystal system = tetragonal
- symmetry = P4/mmm (123)

Cell lengths 3.9567, 4.8342, 4.8342 Å; angles 90.00, 90.00, 90.00 degrees
Last column: nearest neighbours and their distance in Å.
Atoms (fractional coordinates):
Li: 0.5000 0.5000 0.5000  8 P 3.12, 4 O 3.42
P: 0.0000 0.5000 0.0000  2 Ag 2.42
P: 0.0000 0.0000 0.5000  2 Ag 2.42
O: 0.5000 0.0000 0.0000  2 Ag 1.98
Ag: 0.0000 0.0000 0.0000  2 O 1.98

The following is a DFT calculation (meta-GGA SCAN) of LiAgPO2 at its PBEsol-relaxed geometry.

- formation energy from raw total energies (eV/f.u.) = 1.5
- crystal system = tetragonal
- symmetry = P4/mmm (123)

Cell lengths 3.6351, 3.6351, 4.5864 Å; angles 90.00, 90.00, 90.00 degrees
Last column: nearest neighbours and their distance in Å.
Atoms (fractional coordinates):
O: 0.5000 0.0000 0.0000  2 Li 1.82
O: 0.0000 0.5000 0.0000  2 Li 1.82
Ag: 0.5000 0.5000 0.5000  4 P 2.57
Li: 0.0000 0.0000 0.0000  4 O 1.82
P: 0.0000 0.0000 0.5000  2 Li 2.29

The following is a DFT calculation (meta-GGA SCAN) of LiAgOs2 at its PBEsol-relaxed geometry.

- energy of formation (eV/atom) = 0.8541
- crystal system = tetragonal
- relative energy among the computed polymorphs (kcal/mol of atoms) = 14.766
- symmetry = P4/mmm (123)

Cell lengths 2.9159, 2.9159, 6.3195 Å; angles 90.00, 90.00, 90.00 degrees
Last column: nearest neighbours and their distance in Å.
Atoms (fractional coordinates):
Ag: 0.5000 0.5000 0.0000  8 Os 2.82, 4 Ag 2.92, 2 Li 3.16
Os: 0.0000 0.0000 0.6950  4 Li 2.40, 1 Os 2.46
Os: 0.0000 0.0000 0.3050  4 Li 2.40, 1 Os 2.46
Li: 0.5000 0.5000 0.5000  8 Os 2.40